Entry from Alexandria: crystalline Ca2DySb3Pd4 at its relaxed geometry (PBE-GGA).

Lattice parameters (Å, degrees): 4.494 4.494 11.586 90.00 90.00 90.00
Space group P-4m2 (No. 115)
Symmetry-distinct sites (fractional):
Ca1 0.000 0.500 0.216 x2
Dy1 0.000 0.000 0.500 x1
Sb1 0.000 0.500 0.870 x2
Sb2 0.500 0.500 0.500 x1
Pd1 0.000 0.000 0.000 x1
Pd2 0.000 0.500 0.646 x2
Pd3 0.500 0.500 0.000 x1

Summary:
E_form (uncorrected) (eV/f.u.): -8.3
Magnetization (μB per formula unit): 0.0
Density (kg/m³): 7337